*one*
Computed, not measured: ErPd2Au2 after structural relaxation at the GGA-PBE level of DFT.

The value obtained for the spin magnetization is 0.00 Bohr magnetons per cell.

It has space group C2/m (No. 12), with a = 7.844 Å, b = 4.982 Å, c = 5.117 Å, α = 90.00°, β = 111.90° and γ = 90.00°. Symmetry generates all atoms from Er at (0.000, 0.000, 0.000), Pd at (0.206, 0.000, 0.612) and Au at (0.096, 0.500, 0.786).



*two*
Computed, not measured: ErPd2Au2 after structural relaxation at the GGA-PBE level of DFT.

The value obtained for the spin magnetization is 0.00 Bohr magnetons per cell.

It has space group I4/mmm (No. 139), with a = 5.055 Å, b = 5.055 Å, c = 8.449 Å, α = 90.00°, β = 90.00° and γ = 90.00°. Symmetry generates all atoms from Er at (0.000, 0.000, 0.000), Pd at (0.000, 0.500, 0.250) and Au at (0.000, 0.000, 0.345).



*one* takes first place; second place is 341 meV per atom up.



*one*
Computed, not measured: Er2Pd3Au after structural relaxation at the GGA-PBE level of DFT.

The value obtained for the spin magnetization is 0.00 Bohr magnetons per cell.

It has space group Ibam (No. 72), with a = 7.587 Å, b = 8.961 Å, c = 8.110 Å, α = 90.00°, β = 90.00° and γ = 90.00°. Symmetry generates all atoms from Er at (0.196, 0.182, 0.000), Pd at (0.000, 0.000, 0.250), Pd at (0.000, 0.303, 0.250) and Au at (0.000, 0.500, 0.000).



*two*
Computed, not measured: Er2Pd3Au after structural relaxation at the GGA-PBE level of DFT.

The value obtained for the spin magnetization is 0.00 Bohr magnetons per cell.

It has space group I4_1/amd (No. 141, origin choice 2), with a = 9.837 Å, b = 9.837 Å, c = 10.771 Å, α = 90.00°, β = 90.00° and γ = 90.00°. Symmetry generates all atoms from Er at (0.000, 0.057, 0.229), Pd at (0.000, 0.000, 0.500), Pd at (0.242, 0.008, 0.375) and Au at (0.000, 0.250, 0.009).



*two* takes first place; second place is 125 meV per atom up.